# PaMoPd2O8 PBE+U optimized geometry
data_PaMoPd2O8
_symmetry_space_group_name_H-M 'I -4 m 2'
_symmetry_Int_Tables_number 119
_symmetry_space_group_name_Hall 'I -4 -2'
_cell_length_a 6.675
_cell_length_b 6.675
_cell_length_c 7.076
_cell_angle_alpha 90.00
_cell_angle_beta 90.00
_cell_angle_gamma 90.00
loop_
_atom_site_label
_atom_site_type_symbol
_atom_site_fract_x
_atom_site_fract_y
_atom_site_fract_z
Pa1 Pa 0.000 0.000 0.000
Mo1 Mo 0.000 0.500 0.250
Pd1 Pd 0.000 0.000 0.500
Pd2 Pd 0.000 0.500 0.750
O1 O 0.000 0.202 0.283
O2 O 0.000 0.330 0.989
# E   -6.879 eV/atom
# Size of the total moment   0.96 μB/f.u.